VASP calculation (PBEsol) on BaCrAs after structural relaxation.

## Properties
energy of formation from the pure elements	0.11	eV per atom
crystal system	cubic
DOS at the Fermi energy	1.20	states/eV/f.u.

a b c (Å): 4.8780 4.8780 4.8780
angles (deg): 60.00 60.00 60.00
Each line ends with the local moment (μB).
Fractional coordinates of all 3 atoms:
As1 0.0000 0.0000 0.0000  -0.06
Ba1 0.5000 0.5000 0.5000  0.25
Cr1 0.2500 0.2500 0.2500  4.05


VASP calculation (PBEsol) on Ba2NaY after structural relaxation.

## Properties
energy of formation from the pure elements	0.28	eV per atom
crystal system	cubic
DOS at the Fermi energy	6.55	states/eV/f.u.

a b c (Å): 6.3209 6.3209 6.3209
angles (deg): 60.00 60.00 60.00
Fractional coordinates of all 4 atoms:
Y1 0.5000 0.5000 0.5000
Na1 0.0000 0.0000 0.0000
Ba1 0.2500 0.2500 0.2500
Ba2 0.7500 0.7500 0.7500